(1)
Material: NbAg2Bi
Method: DFT, PBE
State: optimized geometry

Values from the calculation:
Formation energy: 630 meV per atom
M_tot: 0.000 μB per atom
SG: R-3m
Theoretical density: 9.6 g/cm3

Cell: 3.055 3.055 33.256 Å, 90.00 90.00 120.00°
Atoms (fractional coordinates):
Nb  0.000  0.000  0.000
Nb  0.333  0.667  0.667
Nb  0.667  0.333  0.333
Ag  0.000  0.000  0.083
Ag  0.000  0.000  0.917
Ag  0.333  0.667  0.584
Ag  0.333  0.667  0.750
Ag  0.667  0.333  0.250
Ag  0.667  0.333  0.416
Bi  0.000  0.000  0.500
Bi  0.333  0.667  0.167
Bi  0.667  0.333  0.833

(2)
Material: Nb2AgBi2
Method: DFT, PBE
State: optimized geometry

Values from the calculation:
Formation energy: 743 meV per atom
M_tot: 0.000 μB per atom
SG: I4/mmm
Relative energy among the computed polymorphs: 460 meV/atom
Theoretical density: 9.2 g/cm3

Cell: 4.528 4.528 12.521 Å, 90.00 90.00 90.00°
Atoms (fractional coordinates):
Nb  0.000  0.000  0.093
Nb  0.000  0.000  0.907
Nb  0.500  0.500  0.407
Nb  0.500  0.500  0.593
Ag  0.000  0.000  0.500
Ag  0.500  0.500  0.000
Bi  0.000  0.500  0.250
Bi  0.000  0.500  0.750
Bi  0.500  0.000  0.250
Bi  0.500  0.000  0.750